## RbPm2Br2F5 (PBE-GGA)

Data for a relaxed structure of RbPm2Br2F5.

Magnetization in μB per cell: 0.00
Total energy in eV/cell: -109.2
Calculated volume in A^3/atom: 19.6
Mass density in g/cm3: 5.33
SG: P4/mbm, No. 127

Cell: 10.4338 10.4338 3.6079 Å, 90.00 90.00 90.00°
Closest atoms and distances in Å follow each position.
Fractional positions:
Rb 0.0000 0.0000 0.0000  8 F 3.18
Rb 0.5000 0.5000 0.0000  8 F 3.18
Pm 0.1268 0.3732 0.0000  6 F 2.34-2.60
Pm 0.3732 0.8732 0.0000  6 F 2.34-2.60
Pm 0.6268 0.1268 0.0000  6 F 2.34-2.60
Pm 0.8732 0.6268 0.0000  6 F 2.34-2.60
Br 0.1680 0.6680 0.0000  3 Pm 3.03-3.11, 10 F 3.07-3.29
Br 0.3320 0.1680 0.0000  3 Pm 3.03-3.11, 10 F 3.07-3.29
Br 0.6680 0.8320 0.0000  3 Pm 3.03-3.11, 10 F 3.07-3.29
Br 0.8320 0.3320 0.0000  3 Pm 3.03-3.11, 10 F 3.07-3.29
F 0.0000 0.5000 0.5000  4 Pm 2.60, 4 F 2.85
F 0.0784 0.2380 0.5000  2 Pm 2.34
F 0.2380 0.9216 0.5000  2 Pm 2.34
F 0.2620 0.4216 0.5000  2 Pm 2.34
F 0.4216 0.7380 0.5000  2 Pm 2.34
F 0.5000 0.0000 0.5000  4 Pm 2.60, 4 F 2.85
F 0.5784 0.2620 0.5000  2 Pm 2.34
F 0.7380 0.5784 0.5000  2 Pm 2.34
F 0.7620 0.0784 0.5000  2 Pm 2.34
F 0.9216 0.7620 0.5000  2 Pm 2.34

---

## Pm2SeBrF2 (PBE-GGA)

Data for a relaxed structure of Pm2SeBrF2.

Magnetization in μB per cell: 0.00
Total energy in eV/cell: -34.5
Calculated volume in A^3/atom: 20.8
Mass density in g/cm3: 6.48
SG: P-3m1, No. 164

Cell: 4.1104 4.1104 8.5218 Å, 90.00 90.00 120.00°
Closest atoms and distances in Å follow each position.
Fractional positions:
Pm 0.3333 0.6667 0.2180  3 F 2.40
Pm 0.6667 0.3333 0.7820  3 F 2.40
Se 0.0000 0.0000 0.0000  6 Pm 3.01, 6 F 3.23
Br 0.0000 0.0000 0.5000  6 F 3.14, 6 Pm 3.38
F 0.3333 0.6667 0.7421  3 Pm 2.40
F 0.6667 0.3333 0.2579  3 Pm 2.40

---

## Pm2TlBr2F5 (PBE-GGA)

Data for a relaxed structure of Pm2TlBr2F5.

Magnetization in μB per cell: 0.00
Total energy in eV/cell: -107.8
Calculated volume in A^3/atom: 19.6
Mass density in g/cm3: 6.35
SG: P4/mbm, No. 127

Cell: 10.4156 10.4156 3.6102 Å, 90.00 90.00 90.00°
Closest atoms and distances in Å follow each position.
Fractional positions:
Pm 0.1270 0.3730 0.0000  6 F 2.34-2.60
Pm 0.3730 0.8730 0.0000  6 F 2.34-2.60
Pm 0.6270 0.1270 0.0000  6 F 2.34-2.60
Pm 0.8730 0.6270 0.0000  6 F 2.34-2.60
Tl 0.0000 0.0000 0.0000  8 F 3.18
Tl 0.5000 0.5000 0.0000  8 F 3.18
Br 0.1685 0.6685 0.0000  3 Pm 3.01-3.11, 10 F 3.07-3.29
Br 0.3315 0.1685 0.0000  3 Pm 3.01-3.11, 10 F 3.07-3.29
Br 0.6685 0.8315 0.0000  3 Pm 3.01-3.11, 10 F 3.07-3.29
Br 0.8315 0.3315 0.0000  3 Pm 3.01-3.11, 10 F 3.07-3.29
F 0.0000 0.5000 0.5000  4 Pm 2.60, 4 F 2.84
F 0.0782 0.2384 0.5000  2 Pm 2.34
F 0.2384 0.9218 0.5000  2 Pm 2.34
F 0.2616 0.4218 0.5000  2 Pm 2.34
F 0.4218 0.7384 0.5000  2 Pm 2.34
F 0.5000 0.0000 0.5000  4 Pm 2.60, 4 F 2.84
F 0.5782 0.2616 0.5000  2 Pm 2.34
F 0.7384 0.5782 0.5000  2 Pm 2.34
F 0.7616 0.0782 0.5000  2 Pm 2.34
F 0.9218 0.7616 0.5000  2 Pm 2.34

---

## Pr2BrF (PBE-GGA)

Data for a relaxed structure of Pr2BrF.

Magnetization in μB per cell: 0.00
Total energy in eV/cell: -19.8
Calculated volume in A^3/atom: 23.6
Mass density in g/cm3: 6.70
SG: R-3m, No. 166

Cell: 8.5406 8.5406 8.5406 Å, 24.52 24.52 24.52°
Closest atoms and distances in Å follow each position.
Fractional positions:
Pr 0.2370 0.2370 0.2370  3 F 2.73
Pr 0.7630 0.7630 0.7630  3 F 2.73
Br 0.0000 0.0000 0.0000  6 Pr 3.18
F 0.5000 0.5000 0.5000  6 Pr 2.73

---

## PrBrF (PBE-GGA)

Data for a relaxed structure of PrBrF.

Magnetization in μB per cell: 2.00
Total energy in eV/cell: -31.7
Calculated volume in A^3/atom: 24.9
Mass density in g/cm3: 5.33
SG: C2/m, No. 12

Cell: 5.9670 5.9670 6.7081 Å, 100.89 100.89 39.68°
Closest atoms and distances in Å follow each position.
Fractional positions:
Pr 0.2235 0.2235 0.2296  3 F 2.45-2.49
Pr 0.7765 0.7765 0.7704  3 F 2.45-2.49
Br 0.0703 0.0703 0.7841  4 Pr 3.09-3.28, 1 F 3.32
Br 0.9297 0.9297 0.2159  4 Pr 3.09-3.28, 1 F 3.32
F 0.3226 0.3226 0.5961  3 Pr 2.45-2.49
F 0.6774 0.6774 0.4039  3 Pr 2.45-2.49

---

## PrBr2F (PBE-GGA)

Data for a relaxed structure of PrBr2F.

Magnetization in μB per cell: 0.00
Total energy in eV/cell: -38.6
Calculated volume in A^3/atom: 25.5
Mass density in g/cm3: 5.21
SG: Fmmm, No. 69

Cell: 6.8104 6.7281 6.3378 Å, 62.75 61.43 55.82°
Closest atoms and distances in Å follow each position.
Fractional positions:
Pr 0.2042 0.7958 0.2042  2 F 2.28
Pr 0.7958 0.2042 0.7958  2 F 2.28
Br 0.2500 0.2500 0.2500  4 Pr 3.39, 4 F 3.39, 4 Br 3.46
Br 0.3167 0.6833 0.6833  2 F 3.10, 4 Pr 3.14-3.36, 5 Br 3.24-3.46
Br 0.6833 0.3167 0.3167  2 F 3.10, 4 Pr 3.14-3.36, 5 Br 3.24-3.46
Br 0.7500 0.7500 0.7500  4 Pr 3.39, 4 F 3.39, 4 Br 3.46
F 0.1311 0.1311 0.8689  2 Pr 2.28
F 0.8689 0.8689 0.1311  2 Pr 2.28